(1)
First-principles (PBE) data for an optimized crystal structure of TmSc2N, as listed in the Alexandria database.

Results
Crystal system: trigonal
Size of the total moment: 0.00 Bohr magnetons per cell

POSCAR file:
```
TmSc2N
1.0
1.6326 0.9426 8.3952
-1.6326 0.9426 8.3952
0.0000 -1.8852 8.3952
Tm Sc N
1 2 1
direct
0.0000 0.0000 0.0000
0.2151 0.2151 0.2151
0.7849 0.7849 0.7849
0.5000 0.5000 0.5000
```

---

(2)
First-principles (PBE) data for an optimized crystal structure of TmSc2UN4, as listed in the Alexandria database.

Results
Crystal system: tetragonal
Size of the total moment: 1.22 Bohr magnetons per cell

POSCAR file:
```
TmSc2UN4
1.0
-2.3521 2.3521 4.6726
2.3521 -2.3521 4.6726
2.3521 2.3521 -4.6726
Tm Sc U N
1 2 1 4
direct
0.0000 0.0000 0.0000
0.5000 0.5000 0.0000
0.7500 0.2500 0.5000
0.2500 0.7500 0.5000
0.0092 0.5092 0.5000
0.2550 0.2550 0.0000
0.4908 0.9908 0.5000
0.7450 0.7450 0.0000
```

---

Which formation energy without anion corrections belongs to each record? In order, -885.5 -1712.1 meV per atom.